Here is a relaxed BaCrSb2 crystal from the Alexandria database. Energies are from PBE-GGA.

Computed properties:
V: 259.23 Å³/cell
DOS at the Fermi energy: 5.24 states/eV per cell
Raw formation energy: -196 meV/atom

The structure in CIF format:
```
data_BaCrSb2
_chemical_formula_sum 'Ba2 Cr2 Sb4'
_space_group_name_H-M_alt 'I m m m'
_space_group_IT_number 71
_space_group_name_Hall '-I 2 2'
_cell_length_a 4.748
_cell_length_b 6.842
_cell_length_c 7.980
_cell_angle_alpha 90.00
_cell_angle_beta 90.00
_cell_angle_gamma 90.00
loop_
_atom_site_label
_atom_site_type_symbol
_atom_site_fract_x
_atom_site_fract_y
_atom_site_fract_z
_atom_site_occupancy
Ba1 Ba 0.000 0.000 0.000 1
Cr1 Cr 0.000 0.000 0.500 1
Sb1 Sb 0.000 0.500 0.184 1
```